# Ta2AgTeOs, optimized geometry, DFT GGA-PBEsol
# - space group = No. 123
# - E_form (uncorrected) (eV/atom) = 2.13
# - crystal system = tetragonal
# - DFT total energy (eV/atom) = -6.704
data_Ta2AgTeOs
_cell_length_a 4.7991
_cell_length_b 4.7991
_cell_length_c 4.8223
_cell_angle_alpha 90.00
_cell_angle_beta 90.00
_cell_angle_gamma 90.00
_symmetry_space_group_name_H-M 'P 1'
_symmetry_Int_Tables_number 1
loop_
_symmetry_equiv_pos_as_xyz
'x,y,z'
loop_
_atom_site_label
_atom_site_fract_x
_atom_site_fract_y
_atom_site_fract_z
Ta1 0.0000 0.5000 0.0000
Ta2 0.5000 0.0000 0.0000
Ag1 0.0000 0.0000 0.0000
Te1 0.5000 0.5000 0.5000
Os1 0.0000 0.0000 0.5000